# 1
The following is a DFT calculation (GGA-PBE) of an optimized crystal structure of SmCdH.

a b c (Å): 3.2386 3.2386 6.2879
angles (deg): 104.92 104.92 90.00
With the nearest neighbours (Å) after each atom.
Fractional coordinates of all 3 atoms:
Sm: 0.7249 0.7249 0.4498  4 H 2.34
H: 0.2669 0.2669 0.5339  4 Sm 2.34
Cd: 0.0082 0.0082 0.0163  1 H 3.03, 4 Cd 3.24, 1 Sm 3.32

magnetic moment: 0.000 μB/cell
final energy: -9.31 eV/f.u.
energy relative to the lowest polymorph listed for this composition: 0.195 eV/atom



# 2
The following is a DFT calculation (GGA-PBE) of an optimized crystal structure of BaLa2Mo.

a b c (Å): 5.0959 5.1012 4.8339
angles (deg): 90.00 90.00 90.00
With the nearest neighbours (Å) after each atom.
Fractional coordinates of all 4 atoms:
La: 0.5000 0.5000 0.0000  4 Ba 3.51, 4 Mo 3.51, 4 La 3.61
La: 0.0000 0.0000 0.0000  4 Mo 3.51, 4 Ba 3.51, 4 La 3.61
Ba: 0.0000 0.5000 0.5000  8 La 3.51, 4 Mo 3.61
Mo: 0.5000 0.0000 0.5000  8 La 3.51, 4 Ba 3.61

magnetic moment: 1.173 μB/cell
final energy: -19.63 eV/f.u.
ΔH_f (0 K): 0.745 eV per atom
energy relative to the lowest polymorph listed for this composition: 0.391 eV/atom



# 3
The following is a DFT calculation (GGA-PBE) of an optimized crystal structure of TbPm12Ho7.

a b c (Å): 6.1852 11.5028 11.5028
angles (deg): 116.86 100.33 100.33
With the nearest neighbours (Å) after each atom.
Fractional coordinates of all 20 atoms:
Pm: 0.9129 0.8259 0.4128  2 Ho 3.37, 5 Pm 3.40-3.72
Pm: 0.4143 0.0001 0.3537  4 Ho 3.30-3.59, 1 Pm 3.34
Pm: 0.0871 0.1741 0.5872  2 Ho 3.37, 5 Pm 3.40-3.72
Pm: 0.5857 0.9999 0.6463  4 Ho 3.30-3.59, 1 Pm 3.34
Pm: 0.0870 0.5870 0.1741  2 Ho 3.37, 5 Pm 3.40-3.72
Pm: 0.0605 0.6463 0.6464  4 Ho 3.30-3.59, 1 Pm 3.34
Pm: 0.5000 0.4128 0.5870  2 Ho 3.37, 5 Pm 3.40-3.72
Pm: 0.5000 0.5872 0.4130  2 Ho 3.37, 5 Pm 3.40-3.72
Pm: 0.9130 0.4130 0.8259  2 Ho 3.37, 5 Pm 3.40-3.72
Pm: 0.4142 0.3536 0.9999  4 Ho 3.30-3.59, 1 Pm 3.34
Pm: 0.9395 0.3537 0.3536  4 Ho 3.30-3.59, 1 Pm 3.34
Pm: 0.5858 0.6464 0.0001  4 Ho 3.30-3.59, 1 Pm 3.34
Ho: 0.8735 0.0001 0.2446  1 Tb 3.05, 1 Ho 3.30, 4 Pm 3.30-3.37
Ho: 0.8734 0.2445 0.9999  1 Tb 3.05, 1 Ho 3.30, 4 Pm 3.30-3.37
Ho: 0.3711 0.2446 0.2445  1 Tb 3.05, 1 Ho 3.30, 4 Pm 3.30-3.37
Ho: 0.1265 0.9999 0.7554  1 Tb 3.05, 1 Ho 3.30, 4 Pm 3.30-3.37
Ho: 0.5000 0.0000 0.0000  2 Tb 3.09, 6 Ho 3.30
Ho: 0.6289 0.7554 0.7555  1 Tb 3.05, 1 Ho 3.30, 4 Pm 3.30-3.37
Ho: 0.1266 0.7555 0.0001  1 Tb 3.05, 1 Ho 3.30, 4 Pm 3.30-3.37
Tb: 0.0000 0.0000 0.0000  8 Ho 3.05-3.09

magnetic moment: 0.000 μB/cell
final energy: -88.74 eV/f.u.
ΔH_f (0 K): 0.247 eV per atom
energy relative to the lowest polymorph listed for this composition: 0.019 eV/atom



# 4
The following is a DFT calculation (GGA-PBE) of an optimized crystal structure of Er12Tl2Cd5.

a b c (Å): 10.4494 8.1653 8.2607
angles (deg): 79.56 90.00 129.78
With the nearest neighbours (Å) after each atom.
Fractional coordinates of all 19 atoms:
Tl: 0.2596 0.0000 0.0000  2 Cd 3.03, 6 Er 3.10-3.28
Tl: 0.7404 0.0000 0.0000  2 Cd 3.03, 6 Er 3.10-3.28
Er: 0.1568 0.7901 0.3935  3 Cd 3.10-3.30, 1 Tl 3.21, 2 Er 3.38
Er: 0.3667 0.2099 0.6065  3 Cd 3.10-3.30, 1 Tl 3.21, 2 Er 3.38
Er: 0.4191 0.8382 0.7025  3 Cd 3.17-3.49, 6 Er 3.38-3.48
Er: 0.6333 0.7901 0.3935  3 Cd 3.10-3.30, 1 Tl 3.21, 2 Er 3.38
Er: 0.3684 0.3507 0.1954  2 Cd 3.08-3.31, 1 Tl 3.10, 1 Er 3.38
Er: 0.5809 0.1618 0.2975  3 Cd 3.17-3.49, 6 Er 3.38-3.48
Er: 0.8432 0.2099 0.6065  3 Cd 3.10-3.30, 1 Tl 3.21, 2 Er 3.38
Er: 0.6316 0.6493 0.8046  2 Cd 3.08-3.31, 1 Tl 3.10, 1 Er 3.38
Er: 0.8633 0.7267 0.1444  1 Cd 3.15, 2 Tl 3.28, 3 Er 3.47-3.50
Er: 0.9823 0.3507 0.1954  2 Cd 3.08-3.31, 1 Tl 3.10, 1 Er 3.38
Er: 0.0177 0.6493 0.8046  2 Cd 3.08-3.31, 1 Tl 3.10, 1 Er 3.38
Er: 0.1367 0.2733 0.8556  1 Cd 3.15, 2 Tl 3.28, 3 Er 3.47-3.50
Cd: 0.7552 0.5104 0.5294  2 Cd 3.02-3.09, 8 Er 3.10-3.31
Cd: 0.6349 0.2698 0.9023  2 Tl 3.03, 3 Er 3.08-3.17, 2 Cd 3.09-3.39
Cd: 0.0000 0.0000 0.5000  2 Cd 3.02, 4 Er 3.25
Cd: 0.2448 0.4896 0.4706  2 Cd 3.02-3.09, 8 Er 3.10-3.31
Cd: 0.3651 0.7302 0.0977  2 Tl 3.03, 3 Er 3.08-3.17, 2 Cd 3.09-3.39

magnetic moment: 0.000 μB/cell
final energy: -66.49 eV/f.u.
ΔH_f (0 K): -0.128 eV per atom



# 5
The following is a DFT calculation (GGA-PBE) of an optimized crystal structure of Tl2HgP.

a b c (Å): 5.2087 5.2087 6.5327
angles (deg): 68.22 68.22 45.47
With the nearest neighbours (Å) after each atom.
Fractional coordinates of all 4 atoms:
Tl: 0.9455 0.9455 0.0482  2 P 3.01, 2 Hg 3.37
Tl: 0.7628 0.7628 0.6995  2 P 2.98
P: 0.2431 0.2431 0.3754  3 Hg 2.74-2.94, 4 Tl 2.98-3.01
Hg: 0.5486 0.5486 0.3769  3 P 2.74-2.94

magnetic moment: 0.000 μB/cell
final energy: -9.72 eV/f.u.
ΔH_f (0 K): 0.181 eV per atom
energy relative to the lowest polymorph listed for this composition: 0.064 eV/atom



# 6
The following is a DFT calculation (GGA-PBE) of an optimized crystal structure of Zr6Au3O2.

a b c (Å): 3.3800 3.3800 20.6870
angles (deg): 85.31 85.31 60.00
With the nearest neighbours (Å) after each atom.
Fractional coordinates of all 11 atoms:
Zr: 0.8946 0.8946 0.3163  3 O 2.31
Zr: 0.1875 0.1875 0.4375  3 O 2.33
Zr: 0.6314 0.6314 0.1057  6 Au 2.88-2.92
Zr: 0.8125 0.8125 0.5625  3 O 2.33
Zr: 0.3686 0.3686 0.8943  6 Au 2.88-2.92
Zr: 0.1054 0.1054 0.6837  3 O 2.31
O: 0.4587 0.4587 0.6240  6 Zr 2.31-2.33
O: 0.5413 0.5413 0.3760  6 Zr 2.31-2.33
Au: 0.2638 0.2638 0.2087  6 Zr 2.88-2.95
Au: 0.7362 0.7362 0.7913  6 Zr 2.88-2.95
Au: 0.0000 0.0000 0.0000  6 Zr 2.92

magnetic moment: 0.000 μB/cell
final energy: -82.42 eV/f.u.
formation energy from raw total energies: -1035 meV/atom